Entry 1:
Na2Re2Te after structural relaxation, computed with PBE.

Calculated values
* formation energy (no corrections): 2.217 eV/f.u.
* space group: I4/mmm, No. 139
* excess energy over the best structure of this formula in the dataset: 0.0 kJ/mol of atoms

Cell lengths 10.387, 10.387, 10.387 Å; angles 160.60, 160.60, 27.57 degrees
Atoms (fractional coordinates):
Na: 0.112 0.112 0.000
Na: 0.888 0.888 0.000
Re: 0.250 0.750 0.500
Re: 0.750 0.250 0.500
Te: 0.500 0.500 0.000

Entry 2:
NaReTe2 after structural relaxation, computed with PBE.

Calculated values
* formation energy (no corrections): 0.559 eV/f.u.
* space group: R-3m, No. 166
* excess energy over the best structure of this formula in the dataset: 0.0 kJ/mol of atoms

Cell lengths 9.453, 9.453, 9.453 Å; angles 23.91, 23.91, 23.91 degrees
Atoms (fractional coordinates):
Na: 0.000 0.000 0.000
Re: 0.500 0.500 0.500
Te: 0.111 0.111 0.111
Te: 0.889 0.889 0.889